No. 1
AsW3C: optimized geometry, GGA-PBE.

a = 4.1746 Å, b = 4.1746 Å, c = 4.1746 Å
α = 90.00°, β = 90.00°, γ = 90.00°
With the nearest neighbours (Å) after each atom.
Space group Pm-3m (No. 221)
Unique sites:
1 As 0.0000 0.0000 0.0000 [1 per cell]  12 W 2.95
2 W 0.0000 0.5000 0.5000 [3 per cell]  2 C 2.09
3 C 0.5000 0.5000 0.5000 [1 per cell]  6 W 2.09

Properties
The value obtained for the density of states at the Fermi level is 3.2 states/eV/cell. Its relative energy among the computed polymorphs is 0 meV/atom. The uncorrected energy is -9.99 eV per atom. The calculation puts the volume at 72.8 Å³/cell. The formation energy comes out at 0.555 eV/atom.

No. 2
K2LiCa: optimized geometry, GGA-PBE.

a = 14.7487 Å, b = 4.4200 Å, c = 6.8442 Å
α = 90.00°, β = 116.42°, γ = 90.00°
With the nearest neighbours (Å) after each atom.
Space group Cm (No. 8)
Unique sites:
1 K 0.0000 0.0000 0.0000 [2 per cell]  2 Li 3.75, 2 Ca 4.17
2 K 0.2135 0.0000 0.7265 [2 per cell]  4 Li 4.01-4.15, 5 K 4.32-4.42, 4 Ca 4.38-4.46
3 Li 0.2285 0.5000 0.2533 [2 per cell]  2 Ca 3.43, 2 K 3.75
4 Ca 0.4272 0.0000 0.4276 [2 per cell]  2 Li 3.43

Properties
The value obtained for the density of states at the Fermi level is 7.3 states/eV/cell. Its relative energy among the computed polymorphs is 76 meV/atom. The uncorrected energy is -1.34 eV per atom. The calculation puts the volume at 399.6 Å³/cell. The formation energy comes out at 0.183 eV/atom.

No. 3
TlAu: optimized geometry, GGA-PBE.

a = 7.2708 Å, b = 7.2708 Å, c = 7.2708 Å
α = 90.00°, β = 90.00°, γ = 90.00°
With the nearest neighbours (Å) after each atom.
Space group Fd-3m (No. 227, origin choice 2)
Unique sites:
1 Tl 0.1250 0.1250 0.1250 [8 per cell]  4 Au 3.15, 4 Tl 3.15
2 Au 0.1250 0.1250 0.6250 [8 per cell]  4 Tl 3.15, 4 Au 3.15

Properties
The value obtained for the density of states at the Fermi level is 4.1 states/eV/cell. The uncorrected energy is -2.74 eV per atom. The calculation puts the volume at 384.4 Å³/cell. The formation energy comes out at 0.085 eV/atom.

No. 4
MnHgI3: optimized geometry, GGA-PBE.

a = 6.8831 Å, b = 15.3113 Å, c = 7.6078 Å
α = 90.00°, β = 90.00°, γ = 90.00°
With the nearest neighbours (Å) after each atom.
Space group Pnma (No. 62)
Unique sites:
1 Mn 0.1030 0.2500 0.2443 [4 per cell]  6 I 2.77-2.92
2 Hg 0.0000 0.0000 0.0000 [4 per cell]  2 I 3.11
3 I 0.1526 0.6212 0.5936 [8 per cell]  2 Mn 2.83-2.92, 1 Hg 3.11
4 I 0.1588 0.7500 0.0374 [4 per cell]  2 Mn 2.77-2.80

Properties
The value obtained for the density of states at the Fermi level is 4.2 states/eV/cell. Its relative energy among the computed polymorphs is 113 meV/atom. The uncorrected energy is -3.06 eV per atom. The calculation puts the volume at 801.8 Å³/cell. Its formation energy (no corrections) is -0.233 eV/atom.

No. 5
TaFeAg2: optimized geometry, GGA-PBE.

a = 4.9440 Å, b = 4.9440 Å, c = 2.7834 Å
α = 90.00°, β = 90.00°, γ = 90.00°
With the nearest neighbours (Å) after each atom.
Space group P4/mmm (No. 123)
Unique sites:
1 Ta 0.0000 0.0000 0.0000 [1 per cell]  2 Ta 2.78, 8 Ag 2.84
2 Fe 0.5000 0.5000 0.0000 [1 per cell]  2 Fe 2.78, 8 Ag 2.84
3 Ag 0.0000 0.5000 0.5000 [2 per cell]  2 Ag 2.78, 4 Ta 2.84, 4 Fe 2.84

Properties
The value obtained for the density of states at the Fermi level is 4.9 states/eV/cell. Its relative energy among the computed polymorphs is 404 meV/atom. The uncorrected energy is -5.88 eV per atom. The calculation puts the volume at 68.0 Å³/cell. The formation energy comes out at 0.622 eV/atom.

No. 6
Nd6Al2N: optimized geometry, GGA-PBE.

a = 3.6084 Å, b = 15.0687 Å, c = 9.3011 Å
α = 90.00°, β = 90.00°, γ = 90.00°
With the nearest neighbours (Å) after each atom.
Space group Amm2 (No. 38)
Unique sites:
1 Nd 0.0000 0.0000 0.0000 [2 per cell]  10 Nd 3.49-3.86, 2 Al 3.50
2 Nd 0.0000 0.1084 0.6238 [4 per cell]  2 N 2.48
3 Nd 0.5000 0.0000 0.3216 [2 per cell]  1 N 2.33
4 Nd 0.5000 0.2057 0.9628 [4 per cell]  4 Al 3.24-3.26, 4 Nd 3.60-3.61
5 Al 0.0000 0.1738 0.2499 [4 per cell]  9 Nd 3.24-3.61, 2 Al 3.61
6 N 0.5000 0.0000 0.5719 [2 per cell]  5 Nd 2.33-2.48

Properties
The value obtained for the density of states at the Fermi level is 18.3 states/eV/cell. Its relative energy among the computed polymorphs is 112 meV/atom. The uncorrected energy is -5.26 eV per atom. The calculation puts the volume at 505.7 Å³/cell. Its formation energy (no corrections) is -0.324 eV/atom.

- Which of these has the lowest uncorrected energy?
  AsW3C

- Which of these has the highest volume?
  MnHgI3

- Which value of volume does entry 6 give?
  505.7 Å³/cell

- Among the records above, which one has the highest volume?
  MnHgI3